A plane-wave DFT calculation with PBE-GGA was carried out for an optimized crystal structure of Sm12Hg5N2.

Output
Calculated total energy: -83.61 eV/f.u.
Formation energy (no corrections): -8.818 eV per formula unit
M_tot: 0.00 μB/cell

a b c (Å): 9.0845 9.0845 8.7029
angles (deg): 92.17 92.17 47.15
Positions (direct):
1 Sm 0.0151 0.0151 0.2002
2 Sm 0.0986 0.6054 0.4720
3 Sm 0.1043 0.6066 0.0467
4 Sm 0.3934 0.8957 0.9533
5 Sm 0.3946 0.9014 0.5280
6 Sm 0.4755 0.4755 0.8241
7 Sm 0.5245 0.5245 0.1759
8 Sm 0.6054 0.0986 0.4720
9 Sm 0.6066 0.1043 0.0467
10 Sm 0.8957 0.3934 0.9533
11 Sm 0.9014 0.3946 0.5280
12 Sm 0.9849 0.9849 0.7998
13 Hg 0.2168 0.2168 0.2480
14 Hg 0.2752 0.2752 0.7522
15 Hg 0.5000 0.5000 0.5000
16 Hg 0.7248 0.7248 0.2478
17 Hg 0.7832 0.7832 0.7520
18 N 0.2385 0.7615 0.0000
19 N 0.7615 0.2385 0.0000